A plane-wave DFT calculation with GGA-PBE was carried out for ZnGe3Pb after structural relaxation.

a b c (Å): 5.4890 5.4890 5.4890
angles (deg): 90.00 90.00 90.00
Fractional coordinates of all 5 atoms:
Zn: 0.0000 0.0000 0.0000
Ge: 0.0000 0.5000 0.5000
Ge: 0.5000 0.0000 0.5000
Ge: 0.5000 0.5000 0.0000
Pb: 0.5000 0.5000 0.5000

Calculated values
The calculation puts the energy above the most stable polymorph in this dataset at 0.660 eV/atom. The size of the total moment is 0.00 μB per atom. The space group is No. 221. For the formation enthalpy at 0 K, the calculation gives 1.146 eV/atom.